(1)
18
Lattice="-0.2345 -6.1372 2.9268 4.2775 1.1442 -5.1653 9.0734 3.6190 8.3156" Properties=species:S:1:pos:R:3 comment="ScMnAgBr6 | Alexandria via LeMat-Bulk | PBE | optimized geometry" e_form_raw_ev_per_atom=-1.067 space_group="P-31c (163)" pbc="T T T"
Sc 5.0418 -0.3782 -0.3890
Sc 8.0746 -0.9958 6.4661
Mn 3.5379 -2.8053 2.3083
Mn 9.5785 1.4313 3.7688
Ag 0.0000 0.0000 0.0000
Ag 4.5367 1.8095 4.1578
Br 3.8085 -2.7468 -0.3660
Br 2.7047 0.8671 -0.7343
Br 5.6519 0.1114 6.2742
Br 10.4117 -2.2410 6.8114
Br 4.7806 -0.4214 2.2684
Br 6.1174 2.0635 -0.2717
Br 7.7411 -0.8282 9.1105
Br 7.4645 -1.4854 -0.1971
Br 6.9990 -3.4374 6.3488
Br 5.3753 -0.5458 -3.0334
Br 8.3358 -0.9525 3.8087
Br 9.3079 1.3729 6.4431

---

(2)
5
Lattice="5.1067 0.0000 0.0000 0.0000 5.1067 0.0000 0.0000 0.0000 5.1533" Properties=species:S:1:pos:R:3 comment="MnAgSe2Br | Alexandria via LeMat-Bulk | PBE | optimized geometry" de_polymorph_mev_per_atom=295.7 e_form_raw_ev_per_atom=0.554 space_group="P4/mmm (123)" pbc="T T T"
Mn 2.5534 2.5534 2.5767
Se 0.0000 2.5534 0.0000
Se 2.5534 0.0000 0.0000
Br 0.0000 0.0000 2.5767
Ag 0.0000 0.0000 0.0000

---

(3)
5
Lattice="-1.4975 4.2596 0.5894 0.3243 -0.5105 4.5132 5.2220 1.8587 -0.1650" Properties=species:S:1:pos:R:3 comment="MnAgSe2Br | Alexandria via LeMat-Bulk | PBE | optimized geometry" de_polymorph_mev_per_atom=0.0 e_form_raw_ev_per_atom=0.259 space_group="P4/mmm (123)" pbc="T T T"
Mn 0.0000 0.0000 0.0000
Se 0.1621 -0.2552 2.2566
Se -0.7487 2.1298 0.2947
Br 2.6110 0.9293 -0.0825
Ag 2.0244 2.8039 2.4688

---

(4)
10
Lattice="7.1458 0.0010 -0.0023 -3.5717 6.1877 0.0013 -3.5717 -2.0611 6.9630" Properties=species:S:1:pos:R:3 comment="SrMnAg2Br6 | Alexandria via LeMat-Bulk | PBE | optimized geometry" e_form_raw_ev_per_atom=-0.968 space_group="R-3 (148)" pbc="T T T"
Sr 0.0562 4.1546 6.8248
Mn 3.6276 2.0911 3.3438
Ag 0.0547 4.1529 3.0073
Ag 0.0552 0.0287 3.6779
Br -2.3365 3.9666 4.8954
Br 2.4477 0.2155 1.7912
Br 2.5933 4.0495 1.7913
Br -1.3041 2.0058 1.7925
Br 1.4140 2.1754 4.8953
Br -2.4829 0.1312 4.8960